Compound: La2BeB10
Source: Alexandria
Functional: PBE
Structure: relaxed

Cell: 5.6697 11.2024 4.2066 Å, 90.00 90.00 90.00°
Closest atoms and distances in Å follow each position.
Sites, in units of the cell vectors:
La 0.1915 0.1355 0.0000  20 B 2.91-3.03, 2 Be 3.13
La 0.3085 0.6355 0.0000  20 B 2.91-3.03, 2 Be 3.13
La 0.6915 0.3645 0.0000  20 B 2.91-3.03, 2 Be 3.13
La 0.8085 0.8645 0.0000  20 B 2.91-3.03, 2 Be 3.13
Be 0.0000 0.5000 0.5000  8 B 2.10-2.16
Be 0.5000 0.0000 0.5000  8 B 2.10-2.16
B 0.0311 0.3131 0.5000  4 B 1.70-1.78
B 0.1276 0.9593 0.5000  4 B 1.71-1.79
B 0.1613 0.8032 0.5000  5 B 1.70-1.77
B 0.1976 0.3881 0.2017  4 B 1.70-1.79
B 0.1976 0.3881 0.7983  4 B 1.70-1.79
B 0.3024 0.8881 0.2017  4 B 1.70-1.79
B 0.3024 0.8881 0.7983  4 B 1.70-1.79
B 0.3387 0.3032 0.5000  5 B 1.70-1.77
B 0.3724 0.4593 0.5000  4 B 1.71-1.79
B 0.4689 0.8131 0.5000  4 B 1.70-1.78
B 0.5311 0.1869 0.5000  4 B 1.70-1.78
B 0.6276 0.5407 0.5000  4 B 1.71-1.79
B 0.6613 0.6968 0.5000  5 B 1.70-1.77
B 0.6976 0.1119 0.2017  4 B 1.70-1.79
B 0.6976 0.1119 0.7983  4 B 1.70-1.79
B 0.8024 0.6119 0.2017  4 B 1.70-1.79
B 0.8024 0.6119 0.7983  4 B 1.70-1.79
B 0.8387 0.1968 0.5000  5 B 1.70-1.77
B 0.8724 0.0407 0.5000  4 B 1.71-1.79
B 0.9689 0.6869 0.5000  4 B 1.70-1.78

Output
For the formation energy, the calculation gives -0.52 eV/atom. For the energy, the calculation gives -6.699 eV per atom. The total magnetization comes out at 0.00 μB/cell. Its space-group type is No. 55.



Compound: LaBeB3
Source: Alexandria
Functional: PBE
Structure: relaxed

Cell: 4.7262 4.7262 4.7262 Å, 90.00 90.00 90.00°
Closest atoms and distances in Å follow each position.
Sites, in units of the cell vectors:
La 0.0000 0.0000 0.0000  6 B 2.36
Be 0.5000 0.5000 0.5000  12 B 3.34
B 0.0000 0.0000 0.5000  2 La 2.36
B 0.0000 0.5000 0.0000  2 La 2.36
B 0.5000 0.0000 0.0000  2 La 2.36

Output
For the formation energy, the calculation gives 2.76 eV/atom. For the energy, the calculation gives -2.973 eV per atom. The calculation puts the distance to the lowest polymorph of the same formula at 1991 meV per atom. The total magnetization comes out at 0.00 μB/cell. Its space-group type is No. 221.



energy of number 2 (LaBeB3)? -2.973 eV per atom



Please write out number 2 again, unchanged.
Compound: LaBeB3
Source: Alexandria
Functional: PBE
Structure: relaxed

Cell: 4.7262 4.7262 4.7262 Å, 90.00 90.00 90.00°
Closest atoms and distances in Å follow each position.
Sites, in units of the cell vectors:
La 0.0000 0.0000 0.0000  6 B 2.36
Be 0.5000 0.5000 0.5000  12 B 3.34
B 0.0000 0.0000 0.5000  2 La 2.36
B 0.0000 0.5000 0.0000  2 La 2.36
B 0.5000 0.0000 0.0000  2 La 2.36

Output
For the formation energy, the calculation gives 2.76 eV/atom. For the energy, the calculation gives -2.973 eV per atom. The calculation puts the distance to the lowest polymorph of the same formula at 1991 meV per atom. The total magnetization comes out at 0.00 μB/cell. Its space-group type is No. 221.



Copy entry 1 word for word.
Compound: La2BeB10
Source: Alexandria
Functional: PBE
Structure: relaxed

Cell: 5.6697 11.2024 4.2066 Å, 90.00 90.00 90.00°
Closest atoms and distances in Å follow each position.
Sites, in units of the cell vectors:
La 0.1915 0.1355 0.0000  20 B 2.91-3.03, 2 Be 3.13
La 0.3085 0.6355 0.0000  20 B 2.91-3.03, 2 Be 3.13
La 0.6915 0.3645 0.0000  20 B 2.91-3.03, 2 Be 3.13
La 0.8085 0.8645 0.0000  20 B 2.91-3.03, 2 Be 3.13
Be 0.0000 0.5000 0.5000  8 B 2.10-2.16
Be 0.5000 0.0000 0.5000  8 B 2.10-2.16
B 0.0311 0.3131 0.5000  4 B 1.70-1.78
B 0.1276 0.9593 0.5000  4 B 1.71-1.79
B 0.1613 0.8032 0.5000  5 B 1.70-1.77
B 0.1976 0.3881 0.2017  4 B 1.70-1.79
B 0.1976 0.3881 0.7983  4 B 1.70-1.79
B 0.3024 0.8881 0.2017  4 B 1.70-1.79
B 0.3024 0.8881 0.7983  4 B 1.70-1.79
B 0.3387 0.3032 0.5000  5 B 1.70-1.77
B 0.3724 0.4593 0.5000  4 B 1.71-1.79
B 0.4689 0.8131 0.5000  4 B 1.70-1.78
B 0.5311 0.1869 0.5000  4 B 1.70-1.78
B 0.6276 0.5407 0.5000  4 B 1.71-1.79
B 0.6613 0.6968 0.5000  5 B 1.70-1.77
B 0.6976 0.1119 0.2017  4 B 1.70-1.79
B 0.6976 0.1119 0.7983  4 B 1.70-1.79
B 0.8024 0.6119 0.2017  4 B 1.70-1.79
B 0.8024 0.6119 0.7983  4 B 1.70-1.79
B 0.8387 0.1968 0.5000  5 B 1.70-1.77
B 0.8724 0.0407 0.5000  4 B 1.71-1.79
B 0.9689 0.6869 0.5000  4 B 1.70-1.78

Output
For the formation energy, the calculation gives -0.52 eV/atom. For the energy, the calculation gives -6.699 eV per atom. The total magnetization comes out at 0.00 μB/cell. Its space-group type is No. 55.



Which of these has the highest energy? LaBeB3